# 1
Nd3GeO: relaxed, PBE.

Unit cell a=4.756 b=4.859 c=11.031 alpha=90.00 beta=102.46 gamma=90.00
Atoms (fractional coordinates):
Nd: 0.059 0.250 0.119
Nd: 0.196 0.750 0.392
Nd: 0.426 0.250 0.851
Nd: 0.574 0.750 0.149
Nd: 0.804 0.250 0.608
Nd: 0.941 0.750 0.881
Ge: 0.334 0.750 0.671
Ge: 0.666 0.250 0.329
O: 0.062 0.750 0.124
O: 0.938 0.250 0.876

uncorrected formation energy: -1.381 eV/atom
crystal system: monoclinic
calculated total energy: -0.226 Ha/atom
distance to the lowest polymorph of the same formula: 0 meV/atom

=====

# 2
Nd12Ge6O: relaxed, PBE.

Unit cell a=8.396 b=8.396 c=8.396 alpha=99.01 beta=99.01 gamma=99.01
Atoms (fractional coordinates):
Nd: 0.025 0.929 0.693
Nd: 0.071 0.307 0.975
Nd: 0.185 0.562 0.425
Nd: 0.307 0.975 0.071
Nd: 0.425 0.185 0.562
Nd: 0.438 0.575 0.815
Nd: 0.562 0.425 0.185
Nd: 0.575 0.815 0.438
Nd: 0.693 0.025 0.929
Nd: 0.815 0.438 0.575
Nd: 0.929 0.693 0.025
Nd: 0.975 0.071 0.307
Ge: 0.123 0.293 0.630
Ge: 0.293 0.630 0.123
Ge: 0.370 0.877 0.707
Ge: 0.630 0.123 0.293
Ge: 0.707 0.370 0.877
Ge: 0.877 0.707 0.370
O: 0.000 0.000 0.000

uncorrected formation energy: -0.728 eV/atom
crystal system: trigonal
calculated total energy: -0.201 Ha/atom

=====

# 3
Nd2GeO: relaxed, PBE.

Unit cell a=7.923 b=7.923 c=7.923 alpha=26.23 beta=26.23 gamma=26.23
Atoms (fractional coordinates):
Nd: 0.000 0.000 0.000
Nd: 0.141 0.141 0.141
Ge: 0.570 0.570 0.570
O: 0.740 0.740 0.740

uncorrected formation energy: -1.440 eV/atom
crystal system: trigonal
calculated total energy: -0.228 Ha/atom
distance to the lowest polymorph of the same formula: 237 meV/atom

=====

# 4
Nd3Ge5O12: relaxed, PBE.

Unit cell a=11.313 b=11.313 c=11.313 alpha=109.47 beta=109.47 gamma=109.47
Atoms (fractional coordinates):
Nd: 0.125 0.250 0.375
Nd: 0.125 0.375 0.750
Nd: 0.250 0.375 0.125
Nd: 0.250 0.875 0.625
Nd: 0.375 0.125 0.250
Nd: 0.375 0.750 0.125
Nd: 0.625 0.250 0.875
Nd: 0.625 0.875 0.750
Nd: 0.750 0.125 0.375
Nd: 0.750 0.625 0.875
Nd: 0.875 0.625 0.250
Nd: 0.875 0.750 0.625
Ge: 0.000 0.000 0.000
Ge: 0.000 0.000 0.500
Ge: 0.000 0.500 0.000
Ge: 0.000 0.500 0.500
Ge: 0.125 0.750 0.875
Ge: 0.125 0.875 0.250
Ge: 0.250 0.125 0.875
Ge: 0.250 0.625 0.375
Ge: 0.375 0.250 0.625
Ge: 0.375 0.625 0.750
Ge: 0.500 0.000 0.000
Ge: 0.500 0.000 0.500
Ge: 0.500 0.500 0.000
Ge: 0.500 0.500 0.500
Ge: 0.625 0.375 0.250
Ge: 0.625 0.750 0.375
Ge: 0.750 0.375 0.625
Ge: 0.750 0.875 0.125
Ge: 0.875 0.125 0.750
Ge: 0.875 0.250 0.125
O: 0.025 0.224 0.128
O: 0.025 0.301 0.897
O: 0.096 0.724 0.699
O: 0.096 0.872 0.397
O: 0.103 0.628 0.404
O: 0.103 0.975 0.699
O: 0.128 0.025 0.224
O: 0.128 0.603 0.904
O: 0.199 0.224 0.596
O: 0.199 0.475 0.603
O: 0.224 0.128 0.025
O: 0.224 0.596 0.199
O: 0.276 0.301 0.904
O: 0.276 0.475 0.372
O: 0.301 0.897 0.025
O: 0.301 0.904 0.276
O: 0.372 0.276 0.475
O: 0.372 0.596 0.897
O: 0.397 0.096 0.872
O: 0.397 0.801 0.525
O: 0.404 0.103 0.628
O: 0.404 0.801 0.776
O: 0.475 0.372 0.276
O: 0.475 0.603 0.199
O: 0.525 0.397 0.801
O: 0.525 0.628 0.724
O: 0.596 0.199 0.224
O: 0.596 0.897 0.372
O: 0.603 0.199 0.475
O: 0.603 0.904 0.128
O: 0.628 0.404 0.103
O: 0.628 0.724 0.525
O: 0.699 0.096 0.724
O: 0.699 0.103 0.975
O: 0.724 0.525 0.628
O: 0.724 0.699 0.096
O: 0.776 0.404 0.801
O: 0.776 0.872 0.975
O: 0.801 0.525 0.397
O: 0.801 0.776 0.404
O: 0.872 0.397 0.096
O: 0.872 0.975 0.776
O: 0.897 0.025 0.301
O: 0.897 0.372 0.596
O: 0.904 0.128 0.603
O: 0.904 0.276 0.301
O: 0.975 0.699 0.103
O: 0.975 0.776 0.872

uncorrected formation energy: -2.102 eV/atom
crystal system: cubic
calculated total energy: -0.255 Ha/atom

=====

# 5
Nd2GeO: relaxed, PBE.

Unit cell a=6.966 b=6.966 c=6.966 alpha=32.52 beta=32.52 gamma=32.52
Atoms (fractional coordinates):
Nd: 0.238 0.238 0.238
Nd: 0.762 0.762 0.762
Ge: 0.000 0.000 0.000
O: 0.500 0.500 0.500

uncorrected formation energy: -1.626 eV/atom
crystal system: trigonal
calculated total energy: -0.235 Ha/atom
distance to the lowest polymorph of the same formula: 50 meV/atom

=====

# 6
NdPaGeO6: relaxed, PBE.

Unit cell a=5.499 b=5.499 c=9.386 alpha=90.00 beta=90.00 gamma=120.00
Atoms (fractional coordinates):
Nd: 0.333 0.667 0.250
Nd: 0.667 0.333 0.750
Pa: 0.000 0.000 0.000
Pa: 0.000 0.000 0.500
Ge: 0.333 0.667 0.750
Ge: 0.667 0.333 0.250
O: 0.061 0.360 0.631
O: 0.061 0.700 0.869
O: 0.300 0.360 0.869
O: 0.300 0.939 0.631
O: 0.360 0.061 0.131
O: 0.360 0.300 0.369
O: 0.640 0.700 0.631
O: 0.640 0.939 0.869
O: 0.700 0.061 0.369
O: 0.700 0.640 0.131
O: 0.939 0.300 0.131
O: 0.939 0.640 0.369

uncorrected formation energy: -2.772 eV/atom
crystal system: trigonal
calculated total energy: -0.300 Ha/atom